(1)
A plane-wave DFT calculation with PBE-GGA was carried out for a relaxed Ga3MoBr crystal.

abc: 5.0828 5.0828 5.0828
angles: 90.00 90.00 90.00
Last column: nearest neighbours and their distance in Å.
Space group Pm-3m (No. 221)
Symmetry-distinct sites (fractional):
1 Ga 0.0000 0.0000 0.5000  2 Mo 2.54
2 Mo 0.0000 0.0000 0.0000  6 Ga 2.54
3 Br 0.5000 0.5000 0.5000  12 Ga 3.59

Computed properties:
Distance to the lowest polymorph of the same formula   0 meV per atom
M_tot   2.198 μB/f.u.

***

(2)
A plane-wave DFT calculation with PBE-GGA was carried out for a relaxed GaMo2Br crystal.

abc: 6.3468 6.3468 6.3468
angles: 90.00 90.00 90.00
Last column: nearest neighbours and their distance in Å.
Space group Fm-3m (No. 225)
Symmetry-distinct sites (fractional):
1 Ga 0.0000 0.0000 0.0000  8 Mo 2.75
2 Mo 0.2500 0.2500 0.2500  4 Br 2.75, 4 Ga 2.75
3 Br 0.0000 0.0000 0.5000  8 Mo 2.75

Computed properties:
Distance to the lowest polymorph of the same formula   0 meV per atom
M_tot   0.000 μB/f.u.

***

(3)
A plane-wave DFT calculation with PBE-GGA was carried out for a relaxed Ga2MoBr crystal.

abc: 6.2052 6.2052 12.3213
angles: 90.00 90.00 90.00
Last column: nearest neighbours and their distance in Å.
Space group I-42d (No. 122)
Symmetry-distinct sites (fractional):
1 Ga 0.2043 0.2500 0.1250  2 Mo 2.53
2 Mo 0.0000 0.0000 0.0000  4 Ga 2.53
3 Br 0.0000 0.0000 0.5000  4 Ga 2.85

Computed properties:
Distance to the lowest polymorph of the same formula   0 meV per atom
M_tot   1.578 μB/f.u.

***

(4)
A plane-wave DFT calculation with PBE-GGA was carried out for a relaxed Ga3MoBr crystal.

abc: 5.3906 5.3906 5.3906
angles: 90.00 90.00 90.00
Last column: nearest neighbours and their distance in Å.
Space group Pm-3m (No. 221)
Symmetry-distinct sites (fractional):
1 Ga 0.0000 0.0000 0.5000  2 Br 2.70
2 Mo 0.5000 0.5000 0.5000  12 Ga 3.81
3 Br 0.0000 0.0000 0.0000  6 Ga 2.70

Computed properties:
Distance to the lowest polymorph of the same formula   836 meV per atom
M_tot   4.439 μB/f.u.